This record from the Alexandria database describes a relaxed structure of RbBa3S8. The functional is PBE.

Lattice parameters (Å, degrees): 8.006 8.006 8.006 115.58 115.58 97.85
Atoms (fractional coordinates):
1 Rb 0.000 0.000 0.000
2 Ba 0.250 0.750 0.500
3 Ba 0.500 0.500 0.000
4 Ba 0.750 0.250 0.500
5 S 0.104 0.104 0.509
6 S 0.104 0.595 0.000
7 S 0.405 0.405 0.509
8 S 0.405 0.896 0.000
9 S 0.595 0.104 0.000
10 S 0.595 0.595 0.491
11 S 0.896 0.405 0.000
12 S 0.896 0.896 0.491

Final energy: -4.4680 eV per atom
Volume: 383.2 Å³/f.u.
D(E_F): 0.66 states/eV per atom

***

This record from the Alexandria database describes a relaxed structure of Rb3BaS. The functional is PBE.

Lattice parameters (Å, degrees): 6.664 6.664 6.664 90.00 90.00 90.00
Atoms (fractional coordinates):
1 Rb 0.000 0.000 0.500
2 Rb 0.000 0.500 0.000
3 Rb 0.500 0.000 0.000
4 Ba 0.500 0.500 0.500
5 S 0.000 0.000 0.000

Excess energy over the best structure of this formula in the dataset: 0.000 eV per atom
Final energy: -2.1120 eV per atom
Volume: 295.9 Å³/f.u.
D(E_F): 0.83 states/eV per atom

***

This record from the Alexandria database describes a relaxed structure of RbBaS3. The functional is PBE.

Lattice parameters (Å, degrees): 6.010 6.010 6.010 90.00 90.00 90.00
Atoms (fractional coordinates):
1 Rb 0.000 0.000 0.000
2 Ba 0.500 0.500 0.500
3 S 0.000 0.500 0.500
4 S 0.500 0.000 0.500
5 S 0.500 0.500 0.000

Excess energy over the best structure of this formula in the dataset: 0.000 eV per atom
Final energy: -3.4481 eV per atom
Volume: 217.0 Å³/f.u.
D(E_F): 0.98 states/eV per atom

***

This record from the Alexandria database describes a relaxed structure of Rb3BaS8. The functional is PBE.

Lattice parameters (Å, degrees): 8.278 8.278 7.051 107.75 107.75 103.89
Atoms (fractional coordinates):
1 Rb 0.000 0.000 0.000
2 Rb 0.306 0.799 0.543
3 Rb 0.799 0.306 0.543
4 Ba 0.489 0.489 0.950
5 S 0.170 0.170 0.534
6 S 0.313 0.782 0.055
7 S 0.341 0.341 0.450
8 S 0.570 0.913 0.090
9 S 0.664 0.664 0.480
10 S 0.782 0.313 0.055
11 S 0.827 0.827 0.401
12 S 0.913 0.570 0.090

Final energy: -3.8907 eV per atom
Volume: 407.7 Å³/f.u.
D(E_F): 0.44 states/eV per atom

***

This record from the Alexandria database describes a relaxed structure of RbBaS. The functional is PBE.

Lattice parameters (Å, degrees): 4.680 4.680 8.205 90.00 90.00 120.00
Atoms (fractional coordinates):
1 Rb 0.000 0.000 0.000
2 Ba 0.667 0.333 0.560
3 S 0.333 0.667 0.733

Final energy: -3.5192 eV per atom
Volume: 155.6 Å³/f.u.
D(E_F): 0.36 states/eV per atom

***

This record from the Alexandria database describes a relaxed structure of Rb2Ba2S. The functional is PBE.

Lattice parameters (Å, degrees): 8.593 8.593 8.643 90.00 90.00 90.00
Atoms (fractional coordinates):
1 Rb 0.174 0.326 0.000
2 Rb 0.326 0.826 0.000
3 Rb 0.674 0.174 0.000
4 Rb 0.826 0.674 0.000
5 Ba 0.197 0.697 0.500
6 Ba 0.303 0.197 0.500
7 Ba 0.697 0.803 0.500
8 Ba 0.803 0.303 0.500
9 S 0.000 0.000 0.500
10 S 0.500 0.500 0.500

Final energy: -2.5329 eV per atom
Volume: 319.1 Å³/f.u.
D(E_F): 0.69 states/eV per atom

***

This record from the Alexandria database describes a relaxed structure of RbBaS2. The functional is PBE.

Lattice parameters (Å, degrees): 8.924 8.924 8.924 131.30 131.30 71.34
Atoms (fractional coordinates):
1 Rb 0.000 0.000 0.000
2 Rb 0.750 0.250 0.500
3 Ba 0.250 0.750 0.500
4 Ba 0.500 0.500 0.000
5 S 0.157 0.625 0.032
6 S 0.375 0.407 0.532
7 S 0.593 0.125 0.968
8 S 0.875 0.843 0.468

Final energy: -3.8133 eV per atom
Volume: 196.4 Å³/f.u.
D(E_F): 2.18 states/eV per atom

***

This record from the Alexandria database describes a relaxed structure of RbBaS3. The functional is PBE.

Lattice parameters (Å, degrees): 5.490 5.490 5.490 90.00 90.00 90.00
Atoms (fractional coordinates):
1 Rb 0.000 0.000 0.000
2 Ba 0.500 0.500 0.500
3 S 0.000 0.000 0.500
4 S 0.000 0.500 0.000
5 S 0.500 0.000 0.000

Excess energy over the best structure of this formula in the dataset: 0.336 eV per atom
Final energy: -3.1122 eV per atom
Volume: 165.5 Å³/f.u.
D(E_F): 1.35 states/eV per atom

***

This record from the Alexandria database describes a relaxed structure of RbBaSbS4. The functional is PBE.

Lattice parameters (Å, degrees): 7.422 7.122 9.394 90.00 106.08 90.00
Atoms (fractional coordinates):
1 Rb 0.235 0.250 0.439
2 Rb 0.765 0.750 0.561
3 Ba 0.265 0.250 0.945
4 Ba 0.735 0.750 0.055
5 Sb 0.284 0.750 0.191
6 Sb 0.716 0.250 0.809
7 S 0.087 0.750 0.348
8 S 0.111 0.750 0.938
9 S 0.490 0.009 0.233
10 S 0.490 0.491 0.233
11 S 0.510 0.509 0.767
12 S 0.510 0.991 0.767
13 S 0.889 0.250 0.062
14 S 0.913 0.250 0.652

Final energy: -4.3985 eV per atom
Volume: 238.6 Å³/f.u.
D(E_F): 0.00 states/eV per atom

***

This record from the Alexandria database describes a relaxed structure of Rb2BaSbS4. The functional is PBE.

Lattice parameters (Å, degrees): 8.917 8.917 8.917 122.60 117.74 89.76
Atoms (fractional coordinates):
1 Rb 0.000 0.000 0.000
2 Rb 0.500 0.000 0.000
3 Rb 0.500 0.000 0.500
4 Rb 0.500 0.500 0.500
5 Ba 0.000 0.500 0.500
6 Ba 0.500 0.500 0.000
7 Sb 0.000 0.000 0.500
8 Sb 0.000 0.500 0.000
9 S 0.194 0.748 0.446
10 S 0.198 0.252 0.946
11 S 0.209 0.218 0.509
12 S 0.209 0.701 0.991
13 S 0.791 0.299 0.009
14 S 0.791 0.782 0.491
15 S 0.802 0.748 0.054
16 S 0.806 0.252 0.554

Final energy: -4.0352 eV per atom
Volume: 249.4 Å³/f.u.
D(E_F): 0.46 states/eV per atom

***

This record from the Alexandria database describes a relaxed structure of Rb2BaSiS4. The functional is PBE.

Lattice parameters (Å, degrees): 8.656 8.656 8.656 119.72 104.35 104.86
Atoms (fractional coordinates):
1 Rb 0.000 0.000 0.000
2 Rb 0.500 0.000 0.000
3 Rb 0.500 0.000 0.500
4 Rb 0.500 0.500 0.500
5 Ba 0.000 0.500 0.500
6 Ba 0.500 0.500 0.000
7 Si 0.000 0.000 0.500
8 Si 0.000 0.500 0.000
9 S 0.209 0.000 0.709
10 S 0.209 0.236 0.527
11 S 0.209 0.500 0.209
12 S 0.209 0.682 0.973
13 S 0.791 0.000 0.291
14 S 0.791 0.318 0.027
15 S 0.791 0.500 0.791
16 S 0.791 0.764 0.473

Final energy: -4.2256 eV per atom
Volume: 243.6 Å³/f.u.
D(E_F): 0.00 states/eV per atom

***

This record from the Alexandria database describes a relaxed structure of Rb2BaSi2S6. The functional is PBE.

Lattice parameters (Å, degrees): 9.477 9.477 9.477 45.11 45.11 45.11
Atoms (fractional coordinates):
1 Rb 0.208 0.208 0.208
2 Rb 0.792 0.792 0.792
3 Ba 0.000 0.000 0.000
4 Si 0.421 0.421 0.421
5 Si 0.579 0.579 0.579
6 S 0.252 0.738 0.738
7 S 0.262 0.262 0.748
8 S 0.262 0.748 0.262
9 S 0.738 0.252 0.738
10 S 0.738 0.738 0.252
11 S 0.748 0.262 0.262

Final energy: -4.6651 eV per atom
Volume: 388.8 Å³/f.u.
D(E_F): 0.00 states/eV per atom

***

This record from the Alexandria database describes a relaxed structure of RbBaSr2S. The functional is PBE.

Lattice parameters (Å, degrees): 6.128 6.128 6.617 90.00 90.00 90.00
Atoms (fractional coordinates):
1 Rb 0.000 0.000 0.000
2 Ba 0.500 0.500 0.000
3 Sr 0.000 0.500 0.500
4 Sr 0.500 0.000 0.500
5 S 0.500 0.500 0.500

Final energy: -2.7055 eV per atom
Volume: 248.5 Å³/f.u.
D(E_F): 1.05 states/eV per atom

***

This record from the Alexandria database describes a relaxed structure of RbBaTaS4. The functional is PBE.

Lattice parameters (Å, degrees): 7.378 7.059 9.333 90.00 106.54 90.00
Atoms (fractional coordinates):
1 Rb 0.217 0.250 0.433
2 Rb 0.783 0.750 0.567
3 Ba 0.267 0.250 0.948
4 Ba 0.733 0.750 0.052
5 Ta 0.287 0.750 0.192
6 Ta 0.713 0.250 0.808
7 S 0.090 0.750 0.342
8 S 0.116 0.750 0.946
9 S 0.486 0.005 0.235
10 S 0.486 0.495 0.235
11 S 0.514 0.505 0.765
12 S 0.514 0.995 0.765
13 S 0.884 0.250 0.054
14 S 0.910 0.250 0.658

Final energy: -5.9483 eV per atom
Volume: 233.0 Å³/f.u.
D(E_F): 0.00 states/eV per atom

***

This record from the Alexandria database describes a relaxed structure of RbBaTaS4. The functional is PBE.

Lattice parameters (Å, degrees): 9.493 7.155 12.712 90.00 90.00 90.00
Atoms (fractional coordinates):
1 Rb 0.136 0.250 0.084
2 Rb 0.364 0.750 0.584
3 Rb 0.636 0.250 0.416
4 Rb 0.864 0.750 0.916
5 Ba 0.015 0.750 0.324
6 Ba 0.485 0.250 0.824
7 Ba 0.515 0.750 0.176
8 Ba 0.985 0.250 0.676
9 Ta 0.227 0.250 0.420
10 Ta 0.273 0.750 0.920
11 Ta 0.727 0.250 0.080
12 Ta 0.773 0.750 0.580
13 S 0.013 0.750 0.581
14 S 0.191 0.008 0.836
15 S 0.191 0.492 0.836
16 S 0.193 0.750 0.090
17 S 0.307 0.250 0.590
18 S 0.309 0.508 0.336
19 S 0.309 0.992 0.336
20 S 0.487 0.250 0.081
21 S 0.513 0.750 0.919
22 S 0.691 0.008 0.664
23 S 0.691 0.492 0.664
24 S 0.693 0.750 0.410
25 S 0.807 0.250 0.910
26 S 0.809 0.508 0.164
27 S 0.809 0.992 0.164
28 S 0.987 0.250 0.419

Final energy: -5.9480 eV per atom
Volume: 215.9 Å³/f.u.
D(E_F): 0.00 states/eV per atom

***

This record from the Alexandria database describes a relaxed structure of Rb2BaTa2S7. The functional is PBE.

Lattice parameters (Å, degrees): 10.809 10.809 10.809 42.98 42.98 42.98
Atoms (fractional coordinates):
1 Rb 0.218 0.218 0.218
2 Rb 0.782 0.782 0.782
3 Ba 0.500 0.500 0.500
4 Ta 0.079 0.079 0.079
5 Ta 0.921 0.921 0.921
6 S 0.000 0.000 0.000
7 S 0.187 0.324 0.806
8 S 0.194 0.676 0.813
9 S 0.324 0.806 0.187
10 S 0.676 0.813 0.194
11 S 0.806 0.187 0.324
12 S 0.813 0.194 0.676

Final energy: -5.9280 eV per atom
Volume: 531.9 Å³/f.u.
D(E_F): 0.00 states/eV per atom

***

This record from the Alexandria database describes a relaxed structure of RbBaTc2S. The functional is PBE.

Lattice parameters (Å, degrees): 5.250 5.250 6.746 90.00 90.00 90.00
Atoms (fractional coordinates):
1 Rb 0.000 0.000 0.000
2 Ba 0.000 0.000 0.500
3 Tc 0.000 0.500 0.500
4 Tc 0.500 0.000 0.500
5 S 0.500 0.500 0.000

Final energy: -3.4854 eV per atom
Volume: 185.9 Å³/f.u.
D(E_F): 0.97 states/eV per atom

***

This record from the Alexandria database describes a relaxed structure of RbBa2TeS4. The functional is PBE.

Lattice parameters (Å, degrees): 8.719 8.719 8.773 116.76 116.76 89.36
Atoms (fractional coordinates):
1 Rb 0.000 0.000 0.000
2 Rb 0.000 0.000 0.500
3 Ba 0.000 0.500 0.000
4 Ba 0.500 0.000 0.500
5 Ba 0.500 0.500 0.000
6 Ba 0.500 0.500 0.500
7 Te 0.000 0.500 0.500
8 Te 0.500 0.000 0.000
9 S 0.200 0.696 0.457
10 S 0.241 0.291 0.528
11 S 0.291 0.241 0.028
12 S 0.304 0.800 0.043
13 S 0.696 0.200 0.957
14 S 0.709 0.759 0.972
15 S 0.759 0.709 0.472
16 S 0.800 0.304 0.543

Final energy: -4.1894 eV per atom
Volume: 258.1 Å³/f.u.
D(E_F): 0.19 states/eV per atom

***

This record from the Alexandria database describes a relaxed structure of Rb2BaTeS4. The functional is PBE.

Lattice parameters (Å, degrees): 9.114 9.114 9.114 120.87 91.00 118.00
Atoms (fractional coordinates):
1 Rb 0.000 0.000 0.000
2 Rb 0.000 0.500 0.500
3 Rb 0.445 0.457 0.488
4 Rb 0.969 0.957 0.512
5 Ba 0.487 0.487 0.000
6 Ba 0.487 0.987 0.500
7 Te 0.033 0.533 0.000
8 Te 0.534 0.033 0.000
9 S 0.192 0.475 0.789
10 S 0.192 0.903 0.217
11 S 0.254 0.518 0.236
12 S 0.282 0.018 0.764
13 S 0.682 0.986 0.196
14 S 0.687 0.403 0.211
15 S 0.687 0.975 0.783
16 S 0.790 0.486 0.804

Final energy: -3.9222 eV per atom
Volume: 269.7 Å³/f.u.
D(E_F): 0.00 states/eV per atom

***

This record from the Alexandria database describes a relaxed structure of Rb2BaThS4. The functional is PBE.

Lattice parameters (Å, degrees): 7.776 4.385 8.108 90.00 108.32 90.00
Atoms (fractional coordinates):
1 Rb 0.000 0.000 0.000
2 Rb 0.500 0.500 0.000
3 Ba 0.000 0.500 0.500
4 Th 0.500 0.000 0.500
5 S 0.272 0.000 0.702
6 S 0.294 0.500 0.303
7 S 0.706 0.500 0.697
8 S 0.728 0.000 0.298

Final energy: -5.2415 eV per atom
Volume: 262.5 Å³/f.u.
D(E_F): 0.00 states/eV per atom

***

This record from the Alexandria database describes a relaxed structure of RbBaTiS3. The functional is PBE.

Lattice parameters (Å, degrees): 8.817 8.817 9.152 105.79 105.79 31.84
Atoms (fractional coordinates):
1 Rb 0.137 0.137 0.068
2 Rb 0.863 0.863 0.932
3 Ba 0.160 0.160 0.588
4 Ba 0.840 0.840 0.412
5 Ti 0.500 0.500 0.319
6 Ti 0.500 0.500 0.681
7 S 0.003 0.003 0.310
8 S 0.355 0.355 0.659
9 S 0.359 0.359 0.193
10 S 0.641 0.641 0.807
11 S 0.645 0.645 0.341
12 S 0.997 0.997 0.690

Final energy: -5.2852 eV per atom
Volume: 179.9 Å³/f.u.
D(E_F): 0.32 states/eV per atom